A geometry-optimized LiNiP2 structure. Source: the Alexandria database, functional PBE.

a b c (Å): 5.1894 5.1894 4.8697
angles (deg): 104.04 104.04 29.29
Positions (direct):
Li 0.0000 0.0000 0.0000
Ni 0.2869 0.2869 0.6621
P 0.7096 0.7096 0.9658
P 0.8767 0.8767 0.3796

Values from the calculation:
Crystal system   monoclinic
Energy of formation   -0.32 eV per atom



A geometry-optimized SrAl5Ag7 structure. Source: the Alexandria database, functional PBE.

a b c (Å): 7.1907 7.1907 7.1907
angles (deg): 135.45 97.80 98.72
Positions (direct):
Sr 0.0000 0.0000 0.0000
Al 0.0022 0.0065 0.4992
Al 0.0022 0.5029 0.9957
Al 0.2303 0.7303 0.5000
Al 0.5072 0.0065 0.0043
Al 0.5072 0.5029 0.5008
Ag 0.2194 0.5086 0.7107
Ag 0.3373 0.3373 0.0000
Ag 0.3440 0.9978 0.3462
Ag 0.6518 0.6518 0.0000
Ag 0.6515 0.9978 0.6538
Ag 0.7768 0.2768 0.5000
Ag 0.7979 0.5086 0.2893

Values from the calculation:
Crystal system   orthorhombic
Energy of formation   -0.16 eV per atom



Number 1: total moment 0.000 μB per formula unit. Number 2: total moment 0.000 μB per formula unit.